Density functional theory data (PBE) for YMnZn after structural relaxation.

a = 4.732 Å, b = 4.732 Å, c = 4.732 Å
α = 60.00°, β = 60.00°, γ = 60.00°
Site moments in Bohr magnetons follow the coordinates.
Fractional positions:
Y 0.750 0.750 0.750  -0.11
Zn 0.000 0.000 0.000  -0.05
Mn 0.500 0.500 0.500  3.77

Space group = F-43m
Crystal system = cubic
Formation energy from the elements = 0.697 eV per atom

***

Density functional theory data (PBE) for Y2Mn2Zn15 after structural relaxation.

a = 6.786 Å, b = 6.786 Å, c = 6.786 Å
α = 82.60°, β = 82.60°, γ = 82.60°
Site moments in Bohr magnetons follow the coordinates.
Fractional positions:
Zn 0.647 0.647 0.153  -0.01
Zn 0.000 0.713 0.287  0.01
Zn 0.000 0.287 0.713  0.01
Zn 0.647 0.153 0.647  -0.01
Zn 0.713 0.287 0.000  0.01
Zn 0.847 0.353 0.353  -0.01
Zn 0.353 0.847 0.353  -0.01
Zn 0.000 0.500 0.000  -0.02
Zn 0.713 0.000 0.287  0.01
Zn 0.153 0.647 0.647  -0.01
Zn 0.287 0.713 0.000  0.01
Zn 0.287 0.000 0.713  0.01
Zn 0.500 0.000 0.000  -0.02
Zn 0.353 0.353 0.847  -0.01
Zn 0.000 0.000 0.500  -0.02
Mn 0.099 0.099 0.099  3.35
Mn 0.901 0.901 0.901  3.35
Y 0.664 0.664 0.664  0.03
Y 0.336 0.336 0.336  0.03

Space group = R-3m
Crystal system = trigonal
Formation energy from the elements = -0.168 eV per atom

***

Copy entry 1 word for word.
Density functional theory data (PBE) for YMnZn after structural relaxation.

a = 4.732 Å, b = 4.732 Å, c = 4.732 Å
α = 60.00°, β = 60.00°, γ = 60.00°
Site moments in Bohr magnetons follow the coordinates.
Fractional positions:
Y 0.750 0.750 0.750  -0.11
Zn 0.000 0.000 0.000  -0.05
Mn 0.500 0.500 0.500  3.77

Space group = F-43m
Crystal system = cubic
Formation energy from the elements = 0.697 eV per atom

***

- Among the records above, which one has the lowest formation energy from the elements?
  Y2Mn2Zn15

***

- Among the records above, which one has the highest formation energy from the elements?
  YMnZn

***

Copy entry 2 word for word.
Density functional theory data (PBE) for Y2Mn2Zn15 after structural relaxation.

a = 6.786 Å, b = 6.786 Å, c = 6.786 Å
α = 82.60°, β = 82.60°, γ = 82.60°
Site moments in Bohr magnetons follow the coordinates.
Fractional positions:
Zn 0.647 0.647 0.153  -0.01
Zn 0.000 0.713 0.287  0.01
Zn 0.000 0.287 0.713  0.01
Zn 0.647 0.153 0.647  -0.01
Zn 0.713 0.287 0.000  0.01
Zn 0.847 0.353 0.353  -0.01
Zn 0.353 0.847 0.353  -0.01
Zn 0.000 0.500 0.000  -0.02
Zn 0.713 0.000 0.287  0.01
Zn 0.153 0.647 0.647  -0.01
Zn 0.287 0.713 0.000  0.01
Zn 0.287 0.000 0.713  0.01
Zn 0.500 0.000 0.000  -0.02
Zn 0.353 0.353 0.847  -0.01
Zn 0.000 0.000 0.500  -0.02
Mn 0.099 0.099 0.099  3.35
Mn 0.901 0.901 0.901  3.35
Y 0.664 0.664 0.664  0.03
Y 0.336 0.336 0.336  0.03

Space group = R-3m
Crystal system = trigonal
Formation energy from the elements = -0.168 eV per atom